(1)
Here is a relaxed AsOs3 crystal from Alexandria. Energies are from PBE.

Cell: 4.0122 2.8312 5.3856 Å, 73.44 90.00 90.00°
Last column: nearest neighbours and their distance in Å.
Positions (direct):
Os 0.5000 0.8736 0.7539  2 As 2.49, 3 Os 2.62-2.77
Os 0.5000 0.1264 0.2461  2 As 2.49, 3 Os 2.62-2.77
Os 0.0000 0.5000 0.5000  2 As 2.66, 10 Os 2.77-2.83
As 0.0000 0.0000 0.0000  6 Os 2.49-2.66

Computed properties:
Symmetry   P2/m (10)
ΔH_f (0 K)   0.3981 eV per atom



(2)
Here is a relaxed TaV3Hg crystal from Alexandria. Energies are from PBE.

Cell: 4.8304 4.8304 4.8304 Å, 90.00 90.00 90.00°
Last column: nearest neighbours and their distance in Å.
Positions (direct):
V 0.0000 0.5000 0.0000  2 Hg 2.42
V 0.0000 0.0000 0.5000  2 Hg 2.42
V 0.5000 0.0000 0.0000  2 Hg 2.42
Ta 0.5000 0.5000 0.5000  12 V 3.42
Hg 0.0000 0.0000 0.0000  6 V 2.42

Computed properties:
Symmetry   Pm-3m (221)
ΔH_f (0 K)   2.0410 eV per atom



(3)
Here is a relaxed RbAgPPd2 crystal from Alexandria. Energies are from PBE.

Cell: 4.7199 4.7199 4.9784 Å, 90.00 90.00 90.00°
Last column: nearest neighbours and their distance in Å.
Positions (direct):
Pd 0.5000 0.0000 0.0000  2 P 2.36
Pd 0.0000 0.5000 0.0000  2 P 2.36
P 0.0000 0.0000 0.0000  4 Pd 2.36, 2 Ag 2.49
Ag 0.0000 0.0000 0.5000  2 P 2.49
Rb 0.5000 0.5000 0.5000  4 Ag 3.34, 8 Pd 3.43

Computed properties:
Symmetry   P4/mmm (123)
ΔH_f (0 K)   -0.1285 eV per atom



(4)
Here is a relaxed Ba3Br4 crystal from Alexandria. Energies are from PBE.

Cell: 7.3484 7.3484 5.9032 Å, 90.00 90.00 120.00°
Last column: nearest neighbours and their distance in Å.
Positions (direct):
Ba 0.0000 0.5000 0.0000  8 Br 3.63-3.96, 4 Ba 3.67
Ba 0.5000 0.0000 0.0000  8 Br 3.63-3.96, 4 Ba 3.67
Ba 0.5000 0.5000 0.0000  8 Br 3.63-3.96, 4 Ba 3.67
Br 0.0000 0.0000 0.2506  2 Br 2.94-2.96
Br 0.6667 0.3333 0.5000  6 Ba 3.63
Br 0.0000 0.0000 0.7494  2 Br 2.94-2.96
Br 0.3333 0.6667 0.5000  6 Ba 3.63

Computed properties:
Symmetry   P6/mmm (191)
Energy relative to the elements, uncorrected   -1186.4 meV per atom



(5)
Here is a relaxed CoB crystal from Alexandria. Energies are from PBE.

Cell: 4.0731 4.0731 4.0731 Å, 90.00 90.00 90.00°
Last column: nearest neighbours and their distance in Å.
Positions (direct):
Co 0.0000 0.0000 0.5000  6 B 2.04
Co 0.5000 0.5000 0.5000  6 B 2.04
Co 0.0000 0.5000 0.0000  6 B 2.04
Co 0.5000 0.0000 0.0000  6 B 2.04
B 0.0000 0.0000 0.0000  6 Co 2.04
B 0.5000 0.0000 0.5000  6 Co 2.04
B 0.0000 0.5000 0.5000  6 Co 2.04
B 0.5000 0.5000 0.0000  6 Co 2.04

Computed properties:
Symmetry   Fm-3m (225)
ΔH_f (0 K)   0.1043 eV per atom



(6)
Here is a relaxed Pm6Dy4Ho crystal from Alexandria. Energies are from PBE.

Cell: 6.6657 6.6657 9.7482 Å, 109.99 109.99 90.00°
Last column: nearest neighbours and their distance in Å.
Positions (direct):
Dy 0.9472 0.9472 0.2519  7 Pm 3.26-3.62, 1 Dy 3.37
Dy 0.6953 0.0528 0.7481  7 Pm 3.26-3.62, 1 Dy 3.37
Dy 0.0528 0.6953 0.7481  7 Pm 3.26-3.62, 1 Dy 3.37
Dy 0.3047 0.3047 0.2519  7 Pm 3.26-3.62, 1 Dy 3.37
Pm 0.8653 0.4870 0.3523  5 Dy 3.38-3.62, 1 Ho 3.50, 1 Pm 3.57
Pm 0.1347 0.1347 0.6477  5 Dy 3.38-3.62, 1 Ho 3.50, 1 Pm 3.57
Pm 0.4870 0.8653 0.3523  5 Dy 3.38-3.62, 1 Ho 3.50, 1 Pm 3.57
Pm 0.5130 0.5130 0.6477  5 Dy 3.38-3.62, 1 Ho 3.50, 1 Pm 3.57
Pm 0.5000 0.0000 0.0000  4 Dy 3.26, 2 Ho 3.33
Pm 0.0000 0.5000 0.0000  4 Dy 3.26, 2 Ho 3.33
Ho 0.5000 0.5000 0.0000  8 Pm 3.33-3.50, 4 Dy 3.71

Computed properties:
Symmetry   I-42m (121)
ΔH_f (0 K)   0.3013 eV per atom



(7)
Here is a relaxed Tb3Y2ErTe6 crystal from Alexandria. Energies are from PBE.

Cell: 4.3430 8.7635 9.7483 Å, 102.92 102.87 90.00°
Last column: nearest neighbours and their distance in Å.
Positions (direct):
Y 0.1679 0.3341 0.3358  6 Te 3.07-3.11
Y 0.8321 0.6659 0.6642  6 Te 3.07-3.11
Te 0.6646 0.0821 0.3292  1 Er 3.05, 3 Tb 3.09, 2 Y 3.09
Te 0.6662 0.5821 0.3324  3 Y 3.07-3.08, 3 Tb 3.07-3.08
Te 0.3354 0.9179 0.6708  1 Er 3.05, 3 Tb 3.09, 2 Y 3.09
Te 0.3338 0.4179 0.6676  3 Y 3.07-3.08, 3 Tb 3.07-3.08
Te 0.9998 0.2465 0.9996  2 Er 3.06, 3 Tb 3.11-3.12, 1 Y 3.11
Te 0.0002 0.7535 0.0004  2 Er 3.06, 3 Tb 3.11-3.12, 1 Y 3.11
Er 0.5000 0.0000 0.0000  6 Te 3.05-3.06
Tb 0.8314 0.1672 0.6628  6 Te 3.08-3.12
Tb 0.5000 0.5000 0.0000  6 Te 3.07-3.11
Tb 0.1686 0.8328 0.3372  6 Te 3.08-3.12

Computed properties:
Symmetry   C2/m (12)
Energy relative to the elements, uncorrected   -1293.9 meV per atom



(8)
Here is a relaxed KMgZr2 crystal from Alexandria. Energies are from PBE.

Cell: 5.4686 5.4686 7.7259 Å, 85.90 85.90 32.47°
Last column: nearest neighbours and their distance in Å.
Positions (direct):
Zr 0.7330 0.7330 0.8482  5 Zr 2.95-3.06, 2 Mg 3.05
Zr 0.0035 0.0035 0.9703  5 Zr 2.95-3.06, 3 Mg 3.29-3.30
K 0.5011 0.5011 0.4969  2 K 3.06
Mg 0.2624 0.2624 0.1846  5 Zr 3.05-3.30, 2 Mg 3.06

Computed properties:
Symmetry   Cm (8)
ΔH_f (0 K)   0.5121 eV per atom